Record 1
Density functional theory data (PBE-GGA) for crystalline TaHg2Cl at its relaxed geometry.

- Energy above the most stable polymorph in this dataset: 844 meV per atom
- Total energy: -22.98 eV/cell
- Raw formation energy: 702.8 meV/atom
- DOS(E_F): 3.847 states/eV/f.u.
- Total magnetic moment: 0.5992 μB/atom

Cell: 4.061 4.061 10.392 Å, 90.00 90.00 90.00°
Space group I4/mmm (No. 139)
Unique sites:
Ta (0.000, 0.000, 0.000) (multiplicity 2)
Hg (0.000, 0.500, 0.250) (multiplicity 4)
Cl (0.000, 0.000, 0.500) (multiplicity 2)

Record 2
Density functional theory data (PBE-GGA) for crystalline Ce3Tl5Se8 at its relaxed geometry.

- Total energy: -225.79 eV/cell
- Raw formation energy: -1109.7 meV/atom
- DOS(E_F): 12.148 states/eV/f.u.
- Total magnetic moment: 0.0667 μB/atom

Cell: 8.7812 8.7812 22.6987 Å, 90.00 90.00 120.00°
Space group R-3m (No. 166, hexagonal axes)
Unique sites:
Ce (0.0000, 0.5000, 0.0000) (multiplicity 9)
Tl (0.0000, 0.0000, 0.0000) (multiplicity 3)
Tl (0.0000, 0.0000, 0.5000) (multiplicity 3)
Tl (0.0000, 0.5000, 0.5000) (multiplicity 9)
Se (0.0000, 0.0000, 0.2641) (multiplicity 6)
Se (0.0275, 0.5138, 0.2640) (multiplicity 18)

Record 3
Density functional theory data (PBE-GGA) for crystalline Ba4RhAu at its relaxed geometry.

- Energy above the most stable polymorph in this dataset: 0 meV per atom
- Total energy: -41.07 eV/cell
- DOS(E_F): 2.486 states/eV/f.u.
- Total magnetic moment: 0.0000 μB/atom

Cell: 8.996 7.549 8.987 Å, 90.00 116.05 90.00°
Space group P2_1/c (No. 14)
Unique sites:
Ba (0.150, 0.239, 0.323) (multiplicity 4)
Ba (0.324, 0.707, 0.644) (multiplicity 4)
Rh (0.000, 0.000, 0.000) (multiplicity 2)
Au (0.500, 0.000, 0.500) (multiplicity 2)

Record 4
Density functional theory data (PBE-GGA) for crystalline Pr2SeBrF2 at its relaxed geometry.

- Total energy: -34.67 eV/cell
- Raw formation energy: -2701.0 meV/atom
- DOS(E_F): 3.063 states/eV/f.u.
- Total magnetic moment: 0.0000 μB/atom

Cell: 4.1830 4.1830 8.5746 Å, 90.00 90.00 120.00°
Space group P-3m1 (No. 164)
Unique sites:
Pr (0.3333, 0.6667, 0.2191) (multiplicity 2)
Se (0.0000, 0.0000, 0.0000) (multiplicity 1)
Br (0.0000, 0.0000, 0.5000) (multiplicity 1)
F (0.3333, 0.6667, 0.7405) (multiplicity 2)

Record 5
Density functional theory data (PBE-GGA) for crystalline SrIrRh at its relaxed geometry.

- Energy above the most stable polymorph in this dataset: 796 meV per atom
- Total energy: -65.31 eV/cell
- DOS(E_F): 4.030 states/eV/f.u.
- Total magnetic moment: 0.6664 μB/atom

Cell: 6.514 6.514 6.514 Å, 90.00 90.00 90.00°
Space group F-43m (No. 216)
Unique sites:
Sr (0.000, 0.000, 0.000) (multiplicity 4)
Ir (0.000, 0.000, 0.500) (multiplicity 4)
Rh (0.250, 0.250, 0.250) (multiplicity 4)

Record 6
Density functional theory data (PBE-GGA) for crystalline HfHSeBr2 at its relaxed geometry.

- Energy above the most stable polymorph in this dataset: 0 meV per atom
- Total energy: -22.11 eV/cell
- Total magnetic moment: 0.2002 μB/atom

Cell: 5.365 5.365 5.075 Å, 90.00 90.00 90.00°
Space group P4/mmm (No. 123)
Unique sites:
Hf (0.000, 0.000, 0.000) (multiplicity 1)
H (0.500, 0.500, 0.500) (multiplicity 1)
Se (0.000, 0.000, 0.500) (multiplicity 1)
Br (0.000, 0.500, 0.000) (multiplicity 2)

Record 7
Density functional theory data (PBE-GGA) for crystalline CaBeRh2 at its relaxed geometry.

- Total energy: -40.71 eV/cell
- DOS(E_F): 2.092 states/eV/f.u.
- Total magnetic moment: 0.0000 μB/atom

Cell: 3.802 3.802 8.569 Å, 90.00 90.00 90.00°
Space group I-4m2 (No. 119)
Unique sites:
Ca (0.000, 0.000, 0.000) (multiplicity 2)
Be (0.000, 0.500, 0.250) (multiplicity 2)
Rh (0.000, 0.000, 0.500) (multiplicity 2)
Rh (0.000, 0.500, 0.750) (multiplicity 2)

Record 8
Density functional theory data (PBE-GGA) for crystalline LiRe2Sb at its relaxed geometry.

- Total energy: -58.71 eV/cell
- Raw formation energy: 394.1 meV/atom
- DOS(E_F): 2.266 states/eV/f.u.
- Total magnetic moment: 0.0000 μB/atom

Cell: 8.475 2.995 5.204 Å, 90.00 97.61 90.00°
Space group Cm (No. 8)
Unique sites:
Li (0.000, 0.000, 0.000) (multiplicity 2)
Re (0.003, 0.500, 0.460) (multiplicity 2)
Re (0.253, 0.500, 0.255) (multiplicity 2)
Sb (0.247, 0.000, 0.769) (multiplicity 2)

Record 9
Density functional theory data (PBE-GGA) for crystalline V3SiP at its relaxed geometry.

- Energy above the most stable polymorph in this dataset: 0 meV per atom
- Total energy: -320.06 eV/cell
- Raw formation energy: -363.7 meV/atom
- DOS(E_F): 3.999 states/eV/f.u.
- Total magnetic moment: 0.0000 μB/atom

Cell: 12.732 4.688 8.822 Å, 90.00 100.86 90.00°
Space group C2/c (No. 15)
Unique sites:
V (0.062, 0.238, 0.021) (multiplicity 8)
V (0.094, 0.482, 0.776) (multiplicity 8)
V (0.201, 0.023, 0.278) (multiplicity 8)
Si (0.149, 0.258, 0.527) (multiplicity 8)
P (0.000, 0.008, 0.250) (multiplicity 4)
P (0.250, 0.250, 0.000) (multiplicity 4)

Record 10
Density functional theory data (PBE-GGA) for crystalline ZnRuW2 at its relaxed geometry.

- Total energy: -35.54 eV/cell
- DOS(E_F): 3.162 states/eV/f.u.
- Total magnetic moment: 0.0000 μB/atom

Cell: 3.835 3.835 4.081 Å, 90.00 90.00 90.00°
Space group P4/mmm (No. 123)
Unique sites:
Zn (0.000, 0.000, 0.000) (multiplicity 1)
Ru (0.500, 0.500, 0.000) (multiplicity 1)
W (0.000, 0.500, 0.500) (multiplicity 2)

Record 11
Density functional theory data (PBE-GGA) for crystalline Ce3Co2Hg at its relaxed geometry.

- Total energy: -131.30 eV/cell
- DOS(E_F): 9.291 states/eV/f.u.
- Total magnetic moment: 0.0616 μB/atom

Cell: 7.158 11.923 6.079 Å, 90.00 90.00 90.00°
Space group Imma (No. 74)
Unique sites:
Ce (0.197, 0.000, 0.000) (multiplicity 8)
Ce (0.250, 0.250, 0.250) (multiplicity 4)
Co (0.000, 0.098, 0.370) (multiplicity 8)
Hg (0.000, 0.250, 0.738) (multiplicity 4)

Record 12
Density functional theory data (PBE-GGA) for crystalline Mg2NiBBr at its relaxed geometry.

- Total energy: -10.69 eV/cell
- Raw formation energy: 1325.7 meV/atom
- DOS(E_F): 3.110 states/eV/f.u.
- Total magnetic moment: 0.0001 μB/atom

Cell: 5.021 5.021 4.204 Å, 90.00 90.00 90.00°
Space group P4/mmm (No. 123)
Unique sites:
Mg (0.000, 0.500, 0.000) (multiplicity 2)
Ni (0.000, 0.000, 0.500) (multiplicity 1)
B (0.500, 0.500, 0.500) (multiplicity 1)
Br (0.500, 0.500, 0.000) (multiplicity 1)